1.
K3SiAs | PBE | relaxed

Computed properties:
Energy relative to the lowest polymorph listed for this composition   0.0 meV per atom
Size of the total moment   3.67 μB per cell
Raw formation energy   0.414 eV per atom
Volume   50.56 A^3/atom

Cell lengths 6.323, 6.323, 6.323 Å; angles 90.00, 90.00, 90.00 degrees
Space group Pm-3m (No. 221)
One atom of each set of equivalent atoms:
K (0.000, 0.000, 0.500) x3
Si (0.500, 0.500, 0.500) x1
As (0.000, 0.000, 0.000) x1

2.
KSi2As | PBE | relaxed

Computed properties:
Size of the total moment   0.00 μB per cell
Raw formation energy   0.595 eV per atom
Volume   21.13 A^3/atom

Cell lengths 5.993, 10.517, 2.682 Å; angles 90.00, 90.00, 90.00 degrees
Space group Cmmm (No. 65)
One atom of each set of equivalent atoms:
K (0.000, 0.000, 0.000) x2
Si (0.250, 0.250, 0.500) x4
As (0.000, 0.500, 0.000) x2

3.
KSiAs3 | PBE | relaxed

Computed properties:
Energy relative to the lowest polymorph listed for this composition   1546.2 meV per atom
Size of the total moment   0.00 μB per cell
Raw formation energy   1.837 eV per atom
Volume   30.46 A^3/atom

Cell lengths 5.340, 5.340, 5.340 Å; angles 90.00, 90.00, 90.00 degrees
Space group Pm-3m (No. 221)
One atom of each set of equivalent atoms:
K (0.000, 0.000, 0.000) x1
Si (0.500, 0.500, 0.500) x1
As (0.000, 0.000, 0.500) x3

Question: Look up the size of the total moment of the third one.
Answer: 0.00 μB per cell